Computed, not measured: crystalline YCuSe3 at its relaxed geometry at the PBE-GGA level of DFT.

a b c (Å): 5.459 5.459 5.459
angles (deg): 90.00 90.00 90.00
Sites, in units of the cell vectors:
Y  0.000  0.000  0.000
Cu  0.500  0.500  0.500
Se  0.000  0.500  0.000
Se  0.000  0.000  0.500
Se  0.500  0.000  0.000

Values from the calculation:
DFT total energy (eV for the cell shown): -21.0
Offset from the most stable computed form (kJ/mol of atoms): 50.8
Space group: No. 221
Total magnetic moment (μB/atom): 0.000

***

Computed, not measured: crystalline Y2CuSe3 at its relaxed geometry at the PBE-GGA level of DFT.

a b c (Å): 3.805 4.483 8.606
angles (deg): 105.10 102.77 90.00
Sites, in units of the cell vectors:
Y  0.640  0.640  0.280
Y  0.360  0.360  0.720
Cu  0.000  0.000  0.000
Se  0.000  0.500  0.000
Se  0.822  0.822  0.644
Se  0.178  0.178  0.356

Values from the calculation:
DFT total energy (eV for the cell shown): -35.4
Space group: No. 71
Total magnetic moment (μB/atom): 0.000

***

Computed, not measured: crystalline Y3CuSe at its relaxed geometry at the PBE-GGA level of DFT.

a b c (Å): 5.316 5.316 5.316
angles (deg): 90.00 90.00 90.00
Sites, in units of the cell vectors:
Y  0.000  0.500  0.000
Y  0.000  0.000  0.500
Y  0.500  0.000  0.000
Cu  0.500  0.500  0.500
Se  0.000  0.000  0.000

Values from the calculation:
DFT total energy (eV for the cell shown): -28.0
Offset from the most stable computed form (kJ/mol of atoms): 0.0
Space group: No. 221
Total magnetic moment (μB/atom): 0.000

***

N(E_F) (computed, states/eV/cell): 9.14; 1.02; 6.59
Energy relative to the elements, uncorrected (computed, eV/atom): 0.01; -1.32; -0.20